# 1
# Si2PS6 | Alexandria | PBE | relaxed
data_Si2PS6
_space_group_name_H-M_alt 'P 1'
_space_group_IT_number 1
_cell_length_a 8.835
_cell_length_b 8.835
_cell_length_c 5.878
_cell_angle_alpha 106.31
_cell_angle_beta 106.31
_cell_angle_gamma 91.11
loop_
_space_group_symop_operation_xyz
'x,y,z'
loop_
_atom_site_label
_atom_site_type_symbol
_atom_site_fract_x
_atom_site_fract_y
_atom_site_fract_z
_atom_site_occupancy
Si1 Si 0.142 0.304 0.361 1
Si2 Si 0.304 0.142 0.861 1
Si3 Si 0.696 0.858 0.139 1
Si4 Si 0.858 0.696 0.639 1
P1 P 0.287 0.713 0.750 1
P2 P 0.713 0.287 0.250 1
S1 S 0.091 0.687 0.886 1
S2 S 0.107 0.252 0.680 1
S3 S 0.252 0.107 0.180 1
S4 S 0.273 0.519 0.400 1
S5 S 0.313 0.909 0.614 1
S6 S 0.481 0.727 0.100 1
S7 S 0.519 0.273 0.900 1
S8 S 0.687 0.091 0.386 1
S9 S 0.727 0.481 0.600 1
S10 S 0.748 0.893 0.820 1
S11 S 0.893 0.748 0.320 1
S12 S 0.909 0.313 0.114 1
# Space-group type = No. 15
# VASP energy = -4.870 eV/atom

---

# 2
# SiP2S | Alexandria | PBE | relaxed
data_SiP2S
_space_group_name_H-M_alt 'P 1'
_space_group_IT_number 1
_cell_length_a 6.088
_cell_length_b 6.088
_cell_length_c 8.142
_cell_angle_alpha 90.00
_cell_angle_beta 90.00
_cell_angle_gamma 90.00
loop_
_space_group_symop_operation_xyz
'x,y,z'
loop_
_atom_site_label
_atom_site_type_symbol
_atom_site_fract_x
_atom_site_fract_y
_atom_site_fract_z
_atom_site_occupancy
Si1 Si 0.000 0.000 0.000 1
Si2 Si 0.000 0.500 0.250 1
Si3 Si 0.500 0.000 0.750 1
Si4 Si 0.500 0.500 0.500 1
P1 P 0.222 0.250 0.125 1
P2 P 0.250 0.722 0.375 1
P3 P 0.250 0.778 0.875 1
P4 P 0.278 0.250 0.625 1
P5 P 0.722 0.750 0.625 1
P6 P 0.750 0.222 0.875 1
P7 P 0.750 0.278 0.375 1
P8 P 0.778 0.750 0.125 1
S1 S 0.000 0.000 0.500 1
S2 S 0.000 0.500 0.750 1
S3 S 0.500 0.000 0.250 1
S4 S 0.500 0.500 0.000 1
# Space-group type = No. 122
# E above lowest polymorph = 0.00 kJ per mole of atoms
# VASP energy = -4.727 eV/atom

---

# 3
# SiSnP2S | Alexandria | PBE | relaxed
data_SiSnP2S
_space_group_name_H-M_alt 'P 1'
_space_group_IT_number 1
_cell_length_a 4.589
_cell_length_b 4.589
_cell_length_c 4.598
_cell_angle_alpha 90.00
_cell_angle_beta 90.00
_cell_angle_gamma 90.00
loop_
_space_group_symop_operation_xyz
'x,y,z'
loop_
_atom_site_label
_atom_site_type_symbol
_atom_site_fract_x
_atom_site_fract_y
_atom_site_fract_z
_atom_site_occupancy
Si1 Si 0.000 0.000 0.000 1
Sn1 Sn 0.500 0.500 0.500 1
P1 P 0.000 0.500 0.000 1
P2 P 0.500 0.000 0.000 1
S1 S 0.000 0.000 0.500 1
# Space-group type = No. 123
# E above lowest polymorph = 0.00 kJ per mole of atoms
# VASP energy = -4.495 eV/atom

---

# 4
# SrSiPS2 | Alexandria | PBE | relaxed
data_SrSiPS2
_space_group_name_H-M_alt 'P 1'
_space_group_IT_number 1
_cell_length_a 4.801
_cell_length_b 4.801
_cell_length_c 4.508
_cell_angle_alpha 90.00
_cell_angle_beta 90.00
_cell_angle_gamma 90.00
loop_
_space_group_symop_operation_xyz
'x,y,z'
loop_
_atom_site_label
_atom_site_type_symbol
_atom_site_fract_x
_atom_site_fract_y
_atom_site_fract_z
_atom_site_occupancy
Sr1 Sr 0.000 0.000 0.000 1
Si1 Si 0.500 0.500 0.500 1
P1 P 0.500 0.500 0.000 1
S1 S 0.000 0.500 0.500 1
S2 S 0.500 0.000 0.500 1
# Space-group type = No. 123
# E above lowest polymorph = 0.00 kJ per mole of atoms
# VASP energy = -4.694 eV/atom

---

# 5
# SrSiPS2 | Alexandria | PBE | relaxed
data_SrSiPS2
_space_group_name_H-M_alt 'P 1'
_space_group_IT_number 1
_cell_length_a 5.468
_cell_length_b 5.468
_cell_length_c 5.586
_cell_angle_alpha 90.00
_cell_angle_beta 90.00
_cell_angle_gamma 90.00
loop_
_space_group_symop_operation_xyz
'x,y,z'
loop_
_atom_site_label
_atom_site_type_symbol
_atom_site_fract_x
_atom_site_fract_y
_atom_site_fract_z
_atom_site_occupancy
Sr1 Sr 0.000 0.000 0.000 1
Si1 Si 0.500 0.500 0.500 1
P1 P 0.000 0.000 0.500 1
S1 S 0.000 0.500 0.000 1
S2 S 0.500 0.000 0.000 1
# Space-group type = No. 123
# E above lowest polymorph = 149.03 kJ per mole of atoms
# VASP energy = -3.149 eV/atom

---

# 6
# Sr2SiPS | Alexandria | PBE | relaxed
data_Sr2SiPS
_space_group_name_H-M_alt 'P 1'
_space_group_IT_number 1
_cell_length_a 5.877
_cell_length_b 5.877
_cell_length_c 4.293
_cell_angle_alpha 90.00
_cell_angle_beta 90.00
_cell_angle_gamma 90.00
loop_
_space_group_symop_operation_xyz
'x,y,z'
loop_
_atom_site_label
_atom_site_type_symbol
_atom_site_fract_x
_atom_site_fract_y
_atom_site_fract_z
_atom_site_occupancy
Sr1 Sr 0.000 0.500 0.000 1
Sr2 Sr 0.500 0.000 0.000 1
Si1 Si 0.000 0.000 0.000 1
P1 P 0.000 0.000 0.500 1
S1 S 0.500 0.500 0.500 1
# Space-group type = No. 123
# VASP energy = -4.201 eV/atom

---

# 7
# TaSi2PS | Alexandria | PBE | relaxed
data_TaSi2PS
_space_group_name_H-M_alt 'P 1'
_space_group_IT_number 1
_cell_length_a 4.346
_cell_length_b 4.346
_cell_length_c 4.501
_cell_angle_alpha 90.00
_cell_angle_beta 90.00
_cell_angle_gamma 90.00
loop_
_space_group_symop_operation_xyz
'x,y,z'
loop_
_atom_site_label
_atom_site_type_symbol
_atom_site_fract_x
_atom_site_fract_y
_atom_site_fract_z
_atom_site_occupancy
Ta1 Ta 0.000 0.000 0.000 1
Si1 Si 0.000 0.500 0.500 1
Si2 Si 0.500 0.000 0.500 1
P1 P 0.500 0.500 0.000 1
S1 S 0.500 0.500 0.500 1
# Space-group type = No. 123
# VASP energy = -5.485 eV/atom

---

# 8
# Tb6SiP2S3 | Alexandria | PBE | relaxed
data_Tb6SiP2S3
_space_group_name_H-M_alt 'P 1'
_space_group_IT_number 1
_cell_length_a 8.968
_cell_length_b 8.968
_cell_length_c 8.012
_cell_angle_alpha 102.91
_cell_angle_beta 102.91
_cell_angle_gamma 25.85
loop_
_space_group_symop_operation_xyz
'x,y,z'
loop_
_atom_site_label
_atom_site_type_symbol
_atom_site_fract_x
_atom_site_fract_y
_atom_site_fract_z
_atom_site_occupancy
Tb1 Tb 0.001 0.001 0.248 1
Tb2 Tb 0.331 0.331 0.421 1
Tb3 Tb 0.335 0.335 0.913 1
Tb4 Tb 0.665 0.665 0.087 1
Tb5 Tb 0.669 0.669 0.579 1
Tb6 Tb 0.999 0.999 0.752 1
Si1 Si 0.500 0.500 0.000 1
P1 P 0.167 0.167 0.335 1
P2 P 0.833 0.833 0.665 1
S1 S 0.168 0.168 0.832 1
S2 S 0.500 0.500 0.500 1
S3 S 0.832 0.832 0.168 1
# Space-group type = No. 12
# VASP energy = -6.421 eV/atom

---

# 9
# SiTcPS2 | Alexandria | PBE | relaxed
data_SiTcPS2
_space_group_name_H-M_alt 'P 1'
_space_group_IT_number 1
_cell_length_a 4.722
_cell_length_b 4.722
_cell_length_c 4.488
_cell_angle_alpha 90.00
_cell_angle_beta 90.00
_cell_angle_gamma 90.00
loop_
_space_group_symop_operation_xyz
'x,y,z'
loop_
_atom_site_label
_atom_site_type_symbol
_atom_site_fract_x
_atom_site_fract_y
_atom_site_fract_z
_atom_site_occupancy
Si1 Si 0.000 0.000 0.000 1
Tc1 Tc 0.500 0.500 0.500 1
P1 P 0.500 0.500 0.000 1
S1 S 0.000 0.500 0.500 1
S2 S 0.500 0.000 0.500 1
# Space-group type = No. 123
# E above lowest polymorph = 0.00 kJ per mole of atoms
# VASP energy = -5.219 eV/atom

---

# 10
# SiTcPS2 | Alexandria | PBE | relaxed
data_SiTcPS2
_space_group_name_H-M_alt 'P 1'
_space_group_IT_number 1
_cell_length_a 4.359
_cell_length_b 4.359
_cell_length_c 4.404
_cell_angle_alpha 90.00
_cell_angle_beta 90.00
_cell_angle_gamma 90.00
loop_
_space_group_symop_operation_xyz
'x,y,z'
loop_
_atom_site_label
_atom_site_type_symbol
_atom_site_fract_x
_atom_site_fract_y
_atom_site_fract_z
_atom_site_occupancy
Si1 Si 0.000 0.000 0.000 1
Tc1 Tc 0.500 0.500 0.500 1
P1 P 0.000 0.000 0.500 1
S1 S 0.000 0.500 0.000 1
S2 S 0.500 0.000 0.000 1
# Space-group type = No. 123
# E above lowest polymorph = 21.96 kJ per mole of atoms
# VASP energy = -4.992 eV/atom

---

# 11
# SiTeP2S | Alexandria | PBE | relaxed
data_SiTeP2S
_space_group_name_H-M_alt 'P 1'
_space_group_IT_number 1
_cell_length_a 4.637
_cell_length_b 4.637
_cell_length_c 4.421
_cell_angle_alpha 90.00
_cell_angle_beta 90.00
_cell_angle_gamma 90.00
loop_
_space_group_symop_operation_xyz
'x,y,z'
loop_
_atom_site_label
_atom_site_type_symbol
_atom_site_fract_x
_atom_site_fract_y
_atom_site_fract_z
_atom_site_occupancy
Si1 Si 0.000 0.000 0.000 1
Te1 Te 0.500 0.500 0.500 1
P1 P 0.000 0.500 0.000 1
P2 P 0.500 0.000 0.000 1
S1 S 0.000 0.000 0.500 1
# Space-group type = No. 123
# E above lowest polymorph = 0.00 kJ per mole of atoms
# VASP energy = -4.160 eV/atom

---

# 12
# Th8SiP3S4 | Alexandria | PBE | relaxed
data_Th8SiP3S4
_space_group_name_H-M_alt 'P 1'
_space_group_IT_number 1
_cell_length_a 8.196
_cell_length_b 8.196
_cell_length_c 8.196
_cell_angle_alpha 60.48
_cell_angle_beta 60.48
_cell_angle_gamma 60.48
loop_
_space_group_symop_operation_xyz
'x,y,z'
loop_
_atom_site_label
_atom_site_type_symbol
_atom_site_fract_x
_atom_site_fract_y
_atom_site_fract_z
_atom_site_occupancy
Th1 Th 0.248 0.750 0.750 1
Th2 Th 0.249 0.249 0.249 1
Th3 Th 0.250 0.250 0.752 1
Th4 Th 0.250 0.752 0.250 1
Th5 Th 0.750 0.248 0.750 1
Th6 Th 0.750 0.750 0.248 1
Th7 Th 0.751 0.751 0.751 1
Th8 Th 0.752 0.250 0.250 1
Si1 Si 0.500 0.500 0.500 1
P1 P 0.000 0.000 0.500 1
P2 P 0.000 0.500 0.000 1
P3 P 0.500 0.000 0.000 1
S1 S 0.000 0.000 0.000 1
S2 S 0.000 0.500 0.500 1
S3 S 0.500 0.000 0.500 1
S4 S 0.500 0.500 0.000 1
# Space-group type = No. 166
# VASP energy = -7.715 eV/atom

---

# 13
# Th4SiP2S | Alexandria | PBE | relaxed
data_Th4SiP2S
_space_group_name_H-M_alt 'P 1'
_space_group_IT_number 1
_cell_length_a 7.175
_cell_length_b 4.155
_cell_length_c 7.216
_cell_angle_alpha 90.00
_cell_angle_beta 109.45
_cell_angle_gamma 90.00
loop_
_space_group_symop_operation_xyz
'x,y,z'
loop_
_atom_site_label
_atom_site_type_symbol
_atom_site_fract_x
_atom_site_fract_y
_atom_site_fract_z
_atom_site_occupancy
Th1 Th 0.247 0.000 0.245 1
Th2 Th 0.251 0.500 0.754 1
Th3 Th 0.749 0.500 0.246 1
Th4 Th 0.753 0.000 0.755 1
Si1 Si 0.000 0.000 0.500 1
P1 P 0.000 0.500 0.000 1
P2 P 0.500 0.000 0.000 1
S1 S 0.500 0.500 0.500 1
# Space-group type = No. 10
# VASP energy = -7.670 eV/atom

---

# 14
# Th4Si2PS | Alexandria | PBE | relaxed
data_Th4Si2PS
_space_group_name_H-M_alt 'P 1'
_space_group_IT_number 1
_cell_length_a 7.206
_cell_length_b 4.204
_cell_length_c 7.290
_cell_angle_alpha 90.00
_cell_angle_beta 109.59
_cell_angle_gamma 90.00
loop_
_space_group_symop_operation_xyz
'x,y,z'
loop_
_atom_site_label
_atom_site_type_symbol
_atom_site_fract_x
_atom_site_fract_y
_atom_site_fract_z
_atom_site_occupancy
Th1 Th 0.248 0.000 0.247 1
Th2 Th 0.251 0.500 0.753 1
Th3 Th 0.749 0.500 0.247 1
Th4 Th 0.752 0.000 0.753 1
Si1 Si 0.500 0.000 0.000 1
Si2 Si 0.500 0.500 0.500 1
P1 P 0.000 0.500 0.000 1
S1 S 0.000 0.000 0.500 1
# Space-group type = No. 10
# VASP energy = -7.442 eV/atom

---

# 15
# Th6Si2P3S | Alexandria | PBE | relaxed
data_Th6Si2P3S
_space_group_name_H-M_alt 'P 1'
_space_group_IT_number 1
_cell_length_a 9.336
_cell_length_b 9.336
_cell_length_c 8.341
_cell_angle_alpha 103.03
_cell_angle_beta 103.03
_cell_angle_gamma 25.85
loop_
_space_group_symop_operation_xyz
'x,y,z'
loop_
_atom_site_label
_atom_site_type_symbol
_atom_site_fract_x
_atom_site_fract_y
_atom_site_fract_z
_atom_site_occupancy
Th1 Th 0.001 0.001 0.245 1
Th2 Th 0.332 0.332 0.418 1
Th3 Th 0.333 0.333 0.914 1
Th4 Th 0.667 0.667 0.086 1
Th5 Th 0.668 0.668 0.582 1
Th6 Th 0.999 0.999 0.755 1
Si1 Si 0.165 0.165 0.830 1
Si2 Si 0.835 0.835 0.170 1
P1 P 0.166 0.166 0.334 1
P2 P 0.500 0.500 0.000 1
P3 P 0.834 0.834 0.666 1
S1 S 0.500 0.500 0.500 1
# Space-group type = No. 12
# VASP energy = -7.615 eV/atom

---

# 16
# TiSiPS2 | Alexandria | PBE | relaxed
data_TiSiPS2
_space_group_name_H-M_alt 'P 1'
_space_group_IT_number 1
_cell_length_a 4.634
_cell_length_b 4.634
_cell_length_c 4.823
_cell_angle_alpha 90.00
_cell_angle_beta 90.00
_cell_angle_gamma 90.00
loop_
_space_group_symop_operation_xyz
'x,y,z'
loop_
_atom_site_label
_atom_site_type_symbol
_atom_site_fract_x
_atom_site_fract_y
_atom_site_fract_z
_atom_site_occupancy
Ti1 Ti 0.000 0.000 0.000 1
Si1 Si 0.500 0.500 0.500 1
P1 P 0.000 0.000 0.500 1
S1 S 0.000 0.500 0.000 1
S2 S 0.500 0.000 0.000 1
# Space-group type = No. 123
# E above lowest polymorph = 0.00 kJ per mole of atoms
# VASP energy = -5.258 eV/atom

---

# 17
# TiSiPS2 | Alexandria | PBE | relaxed
data_TiSiPS2
_space_group_name_H-M_alt 'P 1'
_space_group_IT_number 1
_cell_length_a 4.445
_cell_length_b 4.445
_cell_length_c 4.512
_cell_angle_alpha 90.00
_cell_angle_beta 90.00
_cell_angle_gamma 90.00
loop_
_space_group_symop_operation_xyz
'x,y,z'
loop_
_atom_site_label
_atom_site_type_symbol
_atom_site_fract_x
_atom_site_fract_y
_atom_site_fract_z
_atom_site_occupancy
Ti1 Ti 0.000 0.000 0.000 1
Si1 Si 0.500 0.500 0.500 1
P1 P 0.500 0.500 0.000 1
S1 S 0.000 0.500 0.500 1
S2 S 0.500 0.000 0.500 1
# Space-group type = No. 123
# E above lowest polymorph = 10.69 kJ per mole of atoms
# VASP energy = -5.147 eV/atom

---

# 18
# TlSiPS2 | Alexandria | PBE | relaxed
data_TlSiPS2
_space_group_name_H-M_alt 'P 1'
_space_group_IT_number 1
_cell_length_a 4.632
_cell_length_b 4.632
_cell_length_c 4.701
_cell_angle_alpha 90.00
_cell_angle_beta 90.00
_cell_angle_gamma 90.00
loop_
_space_group_symop_operation_xyz
'x,y,z'
loop_
_atom_site_label
_atom_site_type_symbol
_atom_site_fract_x
_atom_site_fract_y
_atom_site_fract_z
_atom_site_occupancy
Tl1 Tl 0.000 0.000 0.000 1
Si1 Si 0.500 0.500 0.500 1
P1 P 0.500 0.500 0.000 1
S1 S 0.000 0.500 0.500 1
S2 S 0.500 0.000 0.500 1
# Space-group type = No. 123
# E above lowest polymorph = 0.00 kJ per mole of atoms
# VASP energy = -4.081 eV/atom

---

# 19
# Tl2SiPS | Alexandria | PBE | relaxed
data_Tl2SiPS
_space_group_name_H-M_alt 'P 1'
_space_group_IT_number 1
_cell_length_a 5.860
_cell_length_b 5.860
_cell_length_c 4.408
_cell_angle_alpha 90.00
_cell_angle_beta 90.00
_cell_angle_gamma 90.00
loop_
_space_group_symop_operation_xyz
'x,y,z'
loop_
_atom_site_label
_atom_site_type_symbol
_atom_site_fract_x
_atom_site_fract_y
_atom_site_fract_z
_atom_site_occupancy
Tl1 Tl 0.000 0.500 0.000 1
Tl2 Tl 0.500 0.000 0.000 1
Si1 Si 0.000 0.000 0.500 1
P1 P 0.500 0.500 0.500 1
S1 S 0.000 0.000 0.000 1
# Space-group type = No. 123
# E above lowest polymorph = 15.35 kJ per mole of atoms
# VASP energy = -3.226 eV/atom

---

# 20
# Tl2SiPS | Alexandria | PBE | relaxed
data_Tl2SiPS
_space_group_name_H-M_alt 'P 1'
_space_group_IT_number 1
_cell_length_a 5.512
_cell_length_b 5.512
_cell_length_c 4.371
_cell_angle_alpha 90.00
_cell_angle_beta 90.00
_cell_angle_gamma 90.00
loop_
_space_group_symop_operation_xyz
'x,y,z'
loop_
_atom_site_label
_atom_site_type_symbol
_atom_site_fract_x
_atom_site_fract_y
_atom_site_fract_z
_atom_site_occupancy
Tl1 Tl 0.000 0.500 0.000 1
Tl2 Tl 0.500 0.000 0.000 1
Si1 Si 0.000 0.000 0.000 1
P1 P 0.500 0.500 0.500 1
S1 S 0.000 0.000 0.500 1
# Space-group type = No. 123
# E above lowest polymorph = 0.00 kJ per mole of atoms
# VASP energy = -3.385 eV/atom

---

| no. | raw formation energy (kJ per mole of atoms) |
| --- | --- |
| 1 | -30 |
| 2 | 35 |
| 3 | 37 |
| 4 | -52 |
| 5 | 97 |
| 6 | -52 |
| 7 | 93 |
| 8 | -166 |
| 9 | 65 |
| 10 | 87 |
| 11 | 52 |
| 12 | -156 |
| 13 | -136 |
| 14 | -114 |
| 15 | -126 |
| 16 | 13 |
| 17 | 24 |
| 18 | 20 |
| 19 | 69 |
| 20 | 53 |